First-principles (PBE) data for crystalline Rb2LiI2 at its relaxed geometry, as listed in the Alexandria database.

Cell lengths 10.3962, 10.3962, 4.4401 Å; angles 90.00, 90.00, 90.00 degrees
With the nearest neighbours (Å) after each atom.
Element x y z (fractional)
1 Rb 0.1436 0.3564 0.0000  6 I 3.71-3.81, 2 Li 3.99
2 Rb 0.3564 0.8564 0.0000  6 I 3.71-3.81, 2 Li 3.99
3 Rb 0.6436 0.1436 0.0000  6 I 3.71-3.81, 2 Li 3.99
4 Rb 0.8564 0.6436 0.0000  6 I 3.71-3.81, 2 Li 3.99
5 Li 0.0000 0.0000 0.0000  4 Rb 3.99, 2 Li 4.44
6 Li 0.5000 0.5000 0.0000  4 Rb 3.99, 2 Li 4.44
7 I 0.1543 0.6543 0.5000  6 Rb 3.71-3.81
8 I 0.3457 0.1543 0.5000  6 Rb 3.71-3.81
9 I 0.6543 0.8457 0.5000  6 Rb 3.71-3.81
10 I 0.8457 0.3457 0.5000  6 Rb 3.71-3.81

Output
symmetry = P4/mbm (127)
raw formation energy = -0.87 eV/atom
total energy = -2.2549 eV per atom